## CoP2OsO (GGA+U)

Data for crystalline CoP2OsO at its relaxed geometry.

Calculated values
E_tot: -30.08 eV for the cell shown
space-group type: P4/mmm
density of states at the Fermi level: 0.535 states/eV/atom
calculated volume: 16.64 Å³ per atom

Unit cell a=4.7617 b=4.7617 c=3.6690 alpha=90.00 beta=90.00 gamma=90.00
Fractional coordinates of all 5 atoms:
Co1 0.0000 0.0000 0.0000
P1 0.0000 0.5000 0.5000
P2 0.5000 0.0000 0.5000
Os1 0.5000 0.5000 0.5000
O1 0.5000 0.5000 0.0000